The following is a PBE-GGA calculation of an optimized crystal structure of PrNi2PN4, from Alexandria via LeMat-Bulk.

The value obtained for the density of states at the Fermi level is 4.80 states/eV per cell. The calculation puts the formation energy without anion corrections at -0.4694 eV per atom. Its crystal system is tetragonal. The value obtained for the volume is 175.3 Å³/cell. The total energy is -7.351 eV/atom.

The structure belongs to space group I-42m (No. 121); the cell edges are 5.192, 5.192 and 6.504 Å and the angles 90.00°, 90.00° and 90.00°. The inequivalent atoms are Pr at (0.000, 0.000, 0.000), Ni at (0.000, 0.500, 0.250), P at (0.000, 0.000, 0.500) and N at (0.184, 0.184, 0.653).